{
  "formula": "La2Cu2Re",
  "functional": "PBE-GGA",
  "state": "optimized geometry",
  "lattice": [[-2.982, 0.641, -4.706], [-2.847, -4.688, 1.165], [-5.426, -0.036, 0.092]],
  "species": ["Cu", "Cu", "La", "La", "Re"],
  "frac_coords": [[0.654, 0.654, 0.692], [0.346, 0.346, 0.308], [0.250, 0.750, 0.500], [0.750, 0.250, 0.500], [0.000, 0.000, 0.000]],
  "spacegroup": "I4/mmm",
  "e_form_ev_per_atom": 0.39,
  "e_above_lowest_polymorph_ev_per_fu": 0.65,
  "total_energy_ev_per_cell": -28.5,
  "dos_ef_per_ev_fu": 6.34
}

{
  "formula": "CeDyMgMn",
  "functional": "PBE-GGA",
  "state": "optimized geometry",
  "lattice": [[5.174, 0.000, 0.000], [2.587, 4.480, 0.000], [2.587, 1.493, 4.224]],
  "species": ["Mn", "Dy", "Ce", "Mg"],
  "frac_coords": [[0.500, 0.500, 0.500], [0.250, 0.250, 0.250], [0.750, 0.750, 0.750], [0.000, 0.000, 0.000]],
  "spacegroup": "F-43m",
  "e_form_ev_per_atom": 0.14,
  "total_energy_ev_per_cell": -20.7,
  "dos_ef_per_ev_fu": 5.89
}

{
  "formula": "CaHgI2O",
  "functional": "PBE-GGA",
  "state": "optimized geometry",
  "lattice": [[-5.849, 1.560, 0.632], [-1.310, -5.655, 1.831], [0.721, 1.108, 3.937]],
  "species": ["Hg", "O", "I", "I", "Ca"],
  "frac_coords": [[0.000, 0.000, 0.000], [0.000, 0.000, 0.500], [0.000, 0.500, 0.000], [0.500, 0.000, 0.000], [0.500, 0.500, 0.500]],
  "spacegroup": "P4/mmm",
  "e_above_lowest_polymorph_ev_per_fu": 0.77,
  "total_energy_ev_per_cell": -12.9,
  "e_form_raw_ev_per_atom": -0.50,
  "dos_ef_per_ev_fu": 3.43
}

{
  "formula": "SmHoCl3",
  "functional": "PBE-GGA",
  "state": "optimized geometry",
  "lattice": [[3.784, 0.000, 0.761], [1.440, 7.716, 2.627], [0.007, -0.025, 9.752]],
  "species": ["Ho", "Ho", "Cl", "Cl", "Cl", "Cl", "Cl", "Cl", "Sm", "Sm"],
  "frac_coords": [[0.583, 0.787, 0.047], [0.417, 0.213, 0.953], [0.779, 0.328, 0.114], [0.660, 0.189, 0.492], [0.221, 0.672, 0.886], [0.045, 0.658, 0.252], [0.955, 0.342, 0.748], [0.340, 0.811, 0.508], [0.140, 0.011, 0.709], [0.860, 0.989, 0.291]],
  "spacegroup": "C2/m",
  "total_energy_ev_per_cell": -48.0,
  "e_form_raw_ev_per_atom": -1.83
}

{
  "formula": "LaGd2Cu",
  "functional": "PBE-GGA",
  "state": "optimized geometry",
  "lattice": [[5.315, 0.000, 0.000], [2.658, 4.603, 0.000], [2.658, 1.534, 4.341]],
  "species": ["Cu", "La", "Gd", "Gd"],
  "frac_coords": [[0.000, 0.000, 0.000], [0.500, 0.500, 0.500], [0.250, 0.250, 0.250], [0.750, 0.750, 0.750]],
  "spacegroup": "Fm-3m",
  "e_form_ev_per_atom": 0.17,
  "e_above_lowest_polymorph_ev_per_fu": 1.00,
  "total_energy_ev_per_cell": -36.5,
  "dos_ef_per_ev_fu": 4.42
}

{
  "formula": "Na3ICl8",
  "functional": "PBE-GGA",
  "state": "optimized geometry",
  "lattice": [[7.091, 0.459, 0.000], [-2.919, 6.478, 0.000], [0.000, 0.000, 8.396]],
  "species": ["Na", "Na", "Na", "Cl", "Cl", "Cl", "Cl", "Cl", "Cl", "Cl", "Cl", "I"],
  "frac_coords": [[0.000, 0.500, 0.197], [0.500, 0.500, 0.000], [0.500, 0.000, 0.803], [0.725, 0.275, 0.000], [0.727, 0.719, 0.290], [0.286, 0.714, 0.500], [0.714, 0.286, 0.500], [0.719, 0.727, 0.710], [0.275, 0.725, 0.000], [0.273, 0.281, 0.290], [0.281, 0.273, 0.710], [0.500, 0.500, 0.500]],
  "spacegroup": "C222",
  "total_energy_ev_per_cell": -31.0,
  "e_form_raw_ev_per_atom": -0.89
}

{
  "formula": "ScTiNiAg",
  "functional": "PBE-GGA",
  "state": "optimized geometry",
  "lattice": [[-0.979, 2.215, -3.882], [1.168, -1.822, -4.031], [-3.235, -1.616, -2.803]],
  "species": ["Sc", "Ni", "Ag", "Ti"],
  "frac_coords": [[0.750, 0.750, 0.750], [0.000, 0.000, 0.000], [0.500, 0.500, 0.500], [0.250, 0.250, 0.250]],
  "spacegroup": "F-43m",
  "e_form_ev_per_atom": -0.13,
  "total_energy_ev_per_cell": -23.4,
  "dos_ef_per_ev_fu": 5.27
}

{
  "formula": "PmIn3Rh4",
  "functional": "PBE-GGA",
  "state": "optimized geometry",
  "lattice": [[4.585, 0.000, 0.000], [0.000, 6.853, 0.000], [0.000, 0.000, 9.173]],
  "species": ["In", "In", "In", "In", "In", "In", "Rh", "Rh", "Rh", "Rh", "Rh", "Rh", "Rh", "Rh", "Pm", "Pm"],
  "frac_coords": [[0.500, 0.000, 0.750], [0.500, 0.500, 0.250], [0.500, 0.000, 0.250], [0.000, 0.000, 0.000], [0.500, 0.500, 0.750], [0.000, 0.000, 0.500], [0.500, 0.234, 0.000], [0.500, 0.766, 0.000], [0.500, 0.766, 0.500], [0.000, 0.766, 0.750], [0.500, 0.234, 0.500], [0.000, 0.234, 0.750], [0.000, 0.766, 0.250], [0.000, 0.234, 0.250], [0.000, 0.500, 0.000], [0.000, 0.500, 0.500]],
  "spacegroup": "P4/mmm",
  "e_form_ev_per_atom": -0.55,
  "total_energy_ev_per_cell": -93.6,
  "dos_ef_per_ev_fu": 1.30
}

{
  "formula": "CsMg14Fe",
  "functional": "PBE-GGA",
  "state": "optimized geometry",
  "lattice": [[-2.230, 5.783, -1.922], [-2.424, -5.516, -2.411], [-7.326, -0.214, 7.854]],
  "species": ["Mg", "Mg", "Mg", "Mg", "Mg", "Mg", "Mg", "Mg", "Mg", "Mg", "Mg", "Mg", "Mg", "Mg", "Cs", "Fe"],
  "frac_coords": [[0.166, 0.318, 0.246], [0.682, 0.834, 0.246], [0.827, 0.655, 0.000], [0.310, 0.200, 0.500], [0.837, 0.163, 0.000], [0.341, 0.659, 0.000], [0.680, 0.320, 0.276], [0.167, 0.833, 0.780], [0.682, 0.834, 0.754], [0.166, 0.318, 0.754], [0.345, 0.173, 0.000], [0.680, 0.320, 0.724], [0.800, 0.690, 0.500], [0.167, 0.833, 0.220], [0.296, 0.704, 0.500], [0.852, 0.148, 0.500]],
  "spacegroup": "Amm2",
  "e_form_ev_per_atom": 0.25,
  "e_above_lowest_polymorph_ev_per_fu": 0.05,
  "total_energy_ev_per_cell": -27.7,
  "dos_ef_per_ev_fu": 9.20
}

{
  "formula": "La3InCo",
  "functional": "PBE-GGA",
  "state": "optimized geometry",
  "lattice": [[21.265, 0.000, 8.743], [6.453, 1.896, -0.923], [-6.453, 1.896, 0.923]],
  "species": ["Co", "Co", "La", "La", "La", "La", "La", "La", "In", "In"],
  "frac_coords": [[0.340, 0.069, 0.931], [0.660, 0.931, 0.069], [0.496, 0.638, 0.362], [0.767, 0.389, 0.611], [0.233, 0.611, 0.389], [0.019, 0.610, 0.390], [0.504, 0.362, 0.638], [0.981, 0.390, 0.610], [0.242, 0.864, 0.136], [0.758, 0.136, 0.864]],
  "spacegroup": "C2/m",
  "e_form_ev_per_atom": -0.18,
  "e_above_lowest_polymorph_ev_per_fu": 0.55,
  "total_energy_ev_per_cell": -51.1,
  "dos_ef_per_ev_fu": 4.71
}

{
  "formula": "HfV2Cr",
  "functional": "PBE-GGA",
  "state": "optimized geometry",
  "lattice": [[-1.291, 2.285, 1.126], [-4.321, -1.505, -1.902], [1.322, -1.584, 4.704]],
  "species": ["Hf", "Cr", "V", "V"],
  "frac_coords": [[0.500, 0.500, 0.000], [0.500, 0.000, 0.000], [0.994, 0.786, 0.571], [0.006, 0.214, 0.429]],
  "spacegroup": "C2/m",
  "e_form_ev_per_atom": 0.56,
  "e_above_lowest_polymorph_ev_per_fu": 1.90,
  "total_energy_ev_per_cell": -35.6,
  "dos_ef_per_ev_fu": 4.85
}

{
  "formula": "TaIrW3",
  "functional": "PBE-GGA",
  "state": "optimized geometry",
  "lattice": [[-1.160, -4.276, -1.530], [-1.088, -1.272, 4.378], [-4.409, 1.438, -0.678]],
  "species": ["W", "W", "W", "Ir", "Ta"],
  "frac_coords": [[0.000, 0.000, 0.500], [0.500, 0.000, 0.000], [0.000, 0.500, 0.000], [0.500, 0.500, 0.500], [0.000, 0.000, 0.000]],
  "spacegroup": "Pm-3m",
  "e_form_ev_per_atom": 2.48,
  "e_above_lowest_polymorph_ev_per_fu": 3.01,
  "total_energy_ev_per_cell": -47.2,
  "dos_ef_per_ev_fu": 6.47
}